[1]
VASP calculation (PBE) on a relaxed TlGaS2 crystal.

Values from the calculation:
As for the calculated total energy: -3.98 eV/atom. The calculated volume comes out at 27.3 Å³ per atom.

abc: 3.7782 8.0236 14.4329
angles: 90.00 90.00 90.00
Last column: nearest neighbours and their distance in Å.
Fractional coordinates of all 16 atoms:
Tl 0.7500 0.5756 0.6538  4 S 3.06-3.20
Tl 0.2500 0.9244 0.1538  4 S 3.06-3.20
Tl 0.2500 0.4244 0.3462  4 S 3.06-3.20
Tl 0.7500 0.0756 0.8462  4 S 3.06-3.20
Ga 0.7500 0.9985 0.4085  4 S 2.18-2.41
Ga 0.2500 0.5015 0.9085  4 S 2.18-2.41
Ga 0.2500 0.0015 0.5915  4 S 2.18-2.41
Ga 0.7500 0.4985 0.0915  4 S 2.18-2.41
S 0.7500 0.1635 0.5479  3 Ga 2.38-2.41
S 0.2500 0.3365 0.0479  3 Ga 2.38-2.41
S 0.2500 0.8365 0.4521  3 Ga 2.38-2.41
S 0.7500 0.6635 0.9521  3 Ga 2.38-2.41
S 0.7500 0.6288 0.2242  1 Ga 2.18
S 0.2500 0.8712 0.7242  1 Ga 2.18
S 0.2500 0.3712 0.7758  1 Ga 2.18
S 0.7500 0.1288 0.2758  1 Ga 2.18


[2]
VASP calculation (PBE) on a relaxed CeIrPdO6 crystal.

Values from the calculation:
The calculation puts the density of states at the Fermi level at 9.0 states/eV/cell. As for the calculated total energy: -6.93 eV/atom. The calculated volume comes out at 12.9 Å³ per atom.

abc: 4.8573 4.8573 9.8411
angles: 90.00 90.00 90.00
Last column: nearest neighbours and their distance in Å.
Fractional coordinates of all 18 atoms:
Ce 0.5000 0.5000 0.5019  6 O 2.20-2.25
Ce 0.0000 0.0000 0.0019  6 O 2.20-2.25
Ir 0.5000 0.5000 0.8287  6 O 1.93-2.03
Ir 0.0000 0.0000 0.3287  6 O 1.93-2.03
Pd 0.5000 0.5000 0.1727  6 O 2.06-2.19
Pd 0.0000 0.0000 0.6727  6 O 2.06-2.19
O 0.1797 0.8203 0.4893  1 Ir 2.01, 1 Pd 2.19, 1 Ce 2.20
O 0.8203 0.1797 0.4893  1 Ir 2.01, 1 Pd 2.19, 1 Ce 2.20
O 0.3203 0.3203 0.9893  1 Ir 2.01, 1 Pd 2.19, 1 Ce 2.20
O 0.6797 0.6797 0.9893  1 Ir 2.01, 1 Pd 2.19, 1 Ce 2.20
O 0.1997 0.8003 0.1772  1 Ir 2.03, 1 Pd 2.06, 1 Ce 2.20
O 0.8003 0.1997 0.1772  1 Ir 2.03, 1 Pd 2.06, 1 Ce 2.20
O 0.3003 0.3003 0.6772  1 Ir 2.03, 1 Pd 2.06, 1 Ce 2.20
O 0.6997 0.6997 0.6772  1 Ir 2.03, 1 Pd 2.06, 1 Ce 2.20
O 0.7812 0.2188 0.8318  1 Ir 1.93
O 0.2188 0.7812 0.8318  1 Ir 1.93
O 0.7188 0.7188 0.3318  1 Ir 1.93
O 0.2812 0.2812 0.3318  1 Ir 1.93


[3]
VASP calculation (PBE) on a relaxed Ca4HgAu crystal.

Values from the calculation:
The calculation puts the density of states at the Fermi level at 5.7 states/eV/cell. As for the calculated total energy: -1.67 eV/atom. The calculated volume comes out at 32.4 Å³ per atom.

abc: 6.5051 6.5051 6.5051
angles: 60.00 60.00 60.00
Last column: nearest neighbours and their distance in Å.
Fractional coordinates of all 6 atoms:
Ca 0.8758 0.3747 0.3747  6 Ca 3.25-3.26
Ca 0.3747 0.3747 0.8758  6 Ca 3.25-3.26
Ca 0.3747 0.8758 0.3747  6 Ca 3.25-3.26
Ca 0.3747 0.3747 0.3747  6 Ca 3.25-3.26
Hg 0.7500 0.7500 0.7500  12 Ca 3.81, 4 Au 3.98
Au 0.0000 0.0000 0.0000  12 Ca 3.81, 4 Hg 3.98


[4]
VASP calculation (PBE) on a relaxed Sc2AgHg crystal.

Values from the calculation:
The calculation puts the density of states at the Fermi level at 3.9 states/eV/cell. As for the calculated total energy: -4.11 eV/atom. The calculated volume comes out at 22.4 Å³ per atom.

abc: 4.9357 4.9357 5.8384
angles: 78.30 78.30 40.29
Last column: nearest neighbours and their distance in Å.
Fractional coordinates of all 4 atoms:
Ag 0.7500 0.7500 0.7500  6 Sc 2.97-2.99
Hg 0.2500 0.2500 0.2500  6 Sc 2.99-3.01
Sc 0.0019 0.0019 0.9961  3 Ag 2.97-2.99, 3 Hg 2.99-3.01
Sc 0.4981 0.4981 0.5039  3 Ag 2.97-2.99, 3 Hg 2.99-3.01